Below is an optimized crystal structure of PmHoPdRh, with properties calculated at the PBE-GGA level.

Values from the calculation:
ΔE_f = -3.327 eV/f.u.
density of states at the Fermi level = 2.6 states/eV/f.u.
size of the total moment = 0.0 μB/f.u.

CIF file:
```
data_PmHoPdRh
_chemical_formula_sum 'Pm1 Ho1 Pd1 Rh1'
_cell_length_a 3.7540
_cell_length_b 4.4790
_cell_length_c 5.6456
_cell_angle_alpha 90.00
_cell_angle_beta 109.42
_cell_angle_gamma 90.00
_symmetry_space_group_name_H-M 'P 1'
_symmetry_Int_Tables_number 1
_symmetry_space_group_name_Hall 'P 1'
loop_
_atom_site_label
_atom_site_type_symbol
_atom_site_fract_x
_atom_site_fract_y
_atom_site_fract_z
_atom_site_occupancy
Rh1 Rh 0.4093 0.0000 0.8185 1
Pm1 Pm 0.1428 0.0000 0.2856 1
Ho1 Ho 0.8645 0.5000 0.7290 1
Pd1 Pd 0.5834 0.5000 0.1669 1
```